(1)
Entry from Alexandria: a relaxed Pm2InPt5Rh2 crystal (PBE).

Volume ... 18.759 A^3/atom
DFT total energy ... -0.23608 Ha/atom
Formation energy ... -0.710 eV/atom

Unit cell a=4.195 b=9.457 c=9.457 alpha=90.00 beta=90.00 gamma=90.00
Fractional positions:
Pm (0.000, 0.670, 0.170)
Pm (0.000, 0.330, 0.830)
Pm (0.000, 0.170, 0.330)
Pm (0.000, 0.830, 0.670)
In (0.000, 0.000, 0.000)
In (0.000, 0.500, 0.500)
Pt (0.500, 0.205, 0.065)
Pt (0.500, 0.795, 0.935)
Pt (0.500, 0.065, 0.795)
Pt (0.500, 0.705, 0.435)
Pt (0.500, 0.935, 0.205)
Pt (0.500, 0.295, 0.565)
Pt (0.500, 0.565, 0.705)
Pt (0.500, 0.435, 0.295)
Pt (0.500, 0.500, 0.000)
Pt (0.500, 0.000, 0.500)
Rh (0.000, 0.127, 0.627)
Rh (0.000, 0.873, 0.373)
Rh (0.000, 0.627, 0.873)
Rh (0.000, 0.373, 0.127)

---

(2)
Entry from Alexandria: a relaxed Sr2SmCu3Pb2O8 crystal (PBE).

E_form (uncorrected) ... -1700.7 meV per atom
Volume ... 14.907 A^3/atom
DFT total energy ... -0.21743 Ha/atom

Unit cell a=3.856 b=3.856 c=16.042 alpha=90.00 beta=90.00 gamma=90.00
Fractional positions:
Sr (0.000, 0.000, 0.778)
Sr (0.000, 0.000, 0.222)
Sm (0.000, 0.000, 0.000)
Cu (0.000, 0.000, 0.500)
Cu (0.500, 0.500, 0.893)
Cu (0.500, 0.500, 0.107)
Pb (0.500, 0.500, 0.388)
Pb (0.500, 0.500, 0.612)
O (0.000, 0.500, 0.905)
O (0.500, 0.000, 0.095)
O (0.000, 0.500, 0.095)
O (0.500, 0.000, 0.905)
O (0.000, 0.000, 0.384)
O (0.500, 0.500, 0.748)
O (0.500, 0.500, 0.252)
O (0.000, 0.000, 0.616)

---

(3)
Entry from Alexandria: a relaxed BeZn crystal (PBE).

Volume ... 16.348 A^3/atom
DFT total energy ... -0.07322 Ha/atom
Formation energy ... 0.508 eV/atom

Unit cell a=7.310 b=7.310 c=2.447 alpha=90.00 beta=90.00 gamma=90.00
Fractional positions:
Be (0.396, 0.604, 0.000)
Be (0.896, 0.896, 0.500)
Be (0.104, 0.104, 0.500)
Be (0.604, 0.396, 0.000)
Zn (0.294, 0.294, 0.000)
Zn (0.794, 0.206, 0.500)
Zn (0.206, 0.794, 0.500)
Zn (0.706, 0.706, 0.000)

---

(4)
Entry from Alexandria: a relaxed CuReRu2 crystal (PBE).

Volume ... 14.251 A^3/atom
DFT total energy ... -0.30694 Ha/atom
Formation energy ... 0.422 eV/atom
ΔE to the lowest computed polymorph ... 296 meV per atom

Unit cell a=2.653 b=2.653 c=9.051 alpha=90.00 beta=90.00 gamma=116.50
Last column: magnetic moment on the atom in μB.
Fractional positions:
Cu (0.000, 0.000, 0.499)  0.01
Re (0.500, 0.500, 0.751)  -0.02
Ru (0.000, 0.000, 0.999)  0.13
Ru (0.500, 0.500, 0.252)  0.43

---

(5)
Entry from Alexandria: a relaxed NiSb2P crystal (PBE).

E_form (uncorrected) ... 114.2 meV per atom
Volume ... 21.089 A^3/atom
DFT total energy ... -0.17437 Ha/atom

Unit cell a=3.252 b=3.252 c=7.976 alpha=90.00 beta=90.00 gamma=90.00
Fractional positions:
Ni (0.000, 0.000, 0.591)
Sb (0.000, 0.000, 0.922)
Sb (0.500, 0.500, 0.330)
P (0.500, 0.500, 0.657)

---

(6)
Entry from Alexandria: a relaxed SrHfAlSi2 crystal (PBE).

E_form (uncorrected) ... 1956.8 meV per atom
Volume ... 30.975 A^3/atom
DFT total energy ... -0.12083 Ha/atom

Unit cell a=5.341 b=5.429 c=5.341 alpha=90.00 beta=90.00 gamma=90.00
Fractional positions:
Sr (0.000, 0.000, 0.000)
Si (0.000, 0.000, 0.500)
Si (0.500, 0.000, 0.000)
Hf (0.000, 0.500, 0.000)
Al (0.500, 0.500, 0.500)

---

> Which of these has the highest DFT total energy?

BeZn

---

> DFT total energy of number 1 (Pm2InPt5Rh2)?

-0.23608 Ha/atom

---

> What is the formula in the sixth record?

SrHfAlSi2